## Ac2LaAg2 (PBE)

Data for a relaxed structure of Ac2LaAg2.

Results
Calculated volume, Å³ per cell: 338
Excess energy over the best structure of this formula in the dataset, meV per atom: 99
DOS(E_F), states/eV/atom: 1.304

The structure in CIF format:
```
data_Ac2LaAg2
_chemical_formula_sum 'Ac4 La2 Ag4'
_cell_length_a 9.1208
_cell_length_b 9.1208
_cell_length_c 5.9695
_cell_angle_alpha 90.00
_cell_angle_beta 90.00
_cell_angle_gamma 137.04
_symmetry_space_group_name_H-M 'P 1'
_symmetry_Int_Tables_number 1
loop_
_symmetry_equiv_pos_as_xyz
'x,y,z'
loop_
_atom_site_label
_atom_site_type_symbol
_atom_site_fract_x
_atom_site_fract_y
_atom_site_fract_z
Ac1 Ac 0.0824 0.9176 0.7500
Ac2 Ac 0.2924 0.7076 0.2500
Ac3 Ac 0.7076 0.2924 0.7500
Ac4 Ac 0.9176 0.0824 0.2500
La1 La 0.5000 0.5000 0.0000
La2 La 0.5000 0.5000 0.5000
Ag1 Ag 0.1023 0.3600 0.7500
Ag2 Ag 0.3600 0.1023 0.2500
Ag3 Ag 0.6400 0.8977 0.7500
Ag4 Ag 0.8977 0.6400 0.2500
```